# HgI2NF | the Alexandria database | meta-GGA SCAN | PBEsol geometry
# **E_tot**: -29.978 eV per atom
# **Formation energy (no corrections)**: 0.918 eV/atom
data_HgI2NF
_cell_length_a 5.868
_cell_length_b 5.868
_cell_length_c 4.065
_cell_angle_alpha 90.00
_cell_angle_beta 90.00
_cell_angle_gamma 90.00
_symmetry_space_group_name_H-M 'P 4/m m m'
_symmetry_Int_Tables_number 123
_symmetry_space_group_name_Hall '-P 4 2'
loop_
_atom_site_label
_atom_site_type_symbol
_atom_site_fract_x
_atom_site_fract_y
_atom_site_fract_z
_atom_site_occupancy
Hg1 Hg 0.000 0.000 0.000 1
I1 I 0.000 0.500 0.000 1
N1 N 0.000 0.000 0.500 1
F1 F 0.500 0.500 0.500 1

---

# Zn2AgHg | the Alexandria database | meta-GGA SCAN | PBEsol geometry
# **E_tot**: -31.550 eV per atom
# **Formation energy**: 91 meV per atom
data_Zn2AgHg
_cell_length_a 3.786
_cell_length_b 4.143
_cell_length_c 8.383
_cell_angle_alpha 90.00
_cell_angle_beta 90.00
_cell_angle_gamma 90.00
_symmetry_space_group_name_H-M 'I m m 2'
_symmetry_Int_Tables_number 44
_symmetry_space_group_name_Hall 'I 2 -2'
loop_
_atom_site_label
_atom_site_type_symbol
_atom_site_fract_x
_atom_site_fract_y
_atom_site_fract_z
_atom_site_occupancy
Zn1 Zn 0.000 0.000 0.000 1
Zn2 Zn 0.000 0.500 0.256 1
Ag1 Ag 0.000 0.500 0.747 1
Hg1 Hg 0.000 0.000 0.502 1

---

# CrRuO2 | the Alexandria database | meta-GGA SCAN | PBEsol geometry
# **E_tot**: -16.781 eV per atom
# **Formation energy (no corrections)**: -0.362 eV/atom
# **Energy above the most stable polymorph in this dataset**: 482 meV/atom
data_CrRuO2
_cell_length_a 5.331
_cell_length_b 5.331
_cell_length_c 5.331
_cell_angle_alpha 90.00
_cell_angle_beta 90.00
_cell_angle_gamma 90.00
_symmetry_space_group_name_H-M 'F m -3 m'
_symmetry_Int_Tables_number 225
_symmetry_space_group_name_Hall '-F 4 2 3'
loop_
_atom_site_label
_atom_site_type_symbol
_atom_site_fract_x
_atom_site_fract_y
_atom_site_fract_z
_atom_site_occupancy
Cr1 Cr 0.000 0.000 0.000 1
Ru1 Ru 0.000 0.000 0.500 1
O1 O 0.250 0.250 0.250 1

---

Repeat the third record exactly.
# CrRuO2 | the Alexandria database | meta-GGA SCAN | PBEsol geometry
# **E_tot**: -16.781 eV per atom
# **Formation energy (no corrections)**: -0.362 eV/atom
# **Energy above the most stable polymorph in this dataset**: 482 meV/atom
data_CrRuO2
_cell_length_a 5.331
_cell_length_b 5.331
_cell_length_c 5.331
_cell_angle_alpha 90.00
_cell_angle_beta 90.00
_cell_angle_gamma 90.00
_symmetry_space_group_name_H-M 'F m -3 m'
_symmetry_Int_Tables_number 225
_symmetry_space_group_name_Hall '-F 4 2 3'
loop_
_atom_site_label
_atom_site_type_symbol
_atom_site_fract_x
_atom_site_fract_y
_atom_site_fract_z
_atom_site_occupancy
Cr1 Cr 0.000 0.000 0.000 1
Ru1 Ru 0.000 0.000 0.500 1
O1 O 0.250 0.250 0.250 1

---

Q: Which value of E_tot does entry 3 give?
A: -16.781 eV per atom